1.
DFT (SCAN) results for a PBEsol-optimized structure of KBaTl2.

Values from the calculation:
E above lowest polymorph: 0.032 eV/atom
calculated formation energy: -0.3323 eV/atom
energy: -193.92 eV/cell
magnetic moment: 0.000 μB/f.u.

CIF file:
```
data_KBaTl2
_chemical_formula_sum 'K1 Ba1 Tl2'
_space_group_name_H-M_alt 'P 1'
_space_group_IT_number 1
_cell_length_a 4.128
_cell_length_b 4.128
_cell_length_c 8.506
_cell_angle_alpha 90.00
_cell_angle_beta 90.00
_cell_angle_gamma 90.00
loop_
_space_group_symop_operation_xyz
'x,y,z'
loop_
_atom_site_label
_atom_site_type_symbol
_atom_site_fract_x
_atom_site_fract_y
_atom_site_fract_z
K1 K 0.000 0.000 0.000
Ba1 Ba 0.000 0.000 0.500
Tl1 Tl 0.500 0.500 0.259
Tl2 Tl 0.500 0.500 0.741
```

2.
DFT (SCAN) results for a PBEsol-optimized structure of Y2InAu.

Values from the calculation:
calculated formation energy: -0.3458 eV/atom
energy: -159.61 eV/cell
magnetic moment: 1.929 μB/f.u.

CIF file:
```
data_Y2InAu
_chemical_formula_sum 'Y2 In1 Au1'
_space_group_name_H-M_alt 'P 1'
_space_group_IT_number 1
_cell_length_a 5.073
_cell_length_b 5.073
_cell_length_c 5.073
_cell_angle_alpha 60.00
_cell_angle_beta 60.00
_cell_angle_gamma 60.00
loop_
_space_group_symop_operation_xyz
'x,y,z'
loop_
_atom_site_label
_atom_site_type_symbol
_atom_site_fract_x
_atom_site_fract_y
_atom_site_fract_z
Y1 Y 0.000 0.000 0.000
Y2 Y 0.250 0.250 0.250
In1 In 0.750 0.750 0.750
Au1 Au 0.500 0.500 0.500
```

3.
DFT (SCAN) results for a PBEsol-optimized structure of ZrFeCo.

Values from the calculation:
calculated formation energy: -0.2449 eV/atom
energy: -133.73 eV/cell
magnetic moment: 2.488 μB/f.u.

CIF file:
```
data_ZrFeCo
_chemical_formula_sum 'Zr2 Fe2 Co2'
_space_group_name_H-M_alt 'P 1'
_space_group_IT_number 1
_cell_length_a 4.845
_cell_length_b 4.845
_cell_length_c 4.845
_cell_angle_alpha 121.02
_cell_angle_beta 118.85
_cell_angle_gamma 90.12
loop_
_space_group_symop_operation_xyz
'x,y,z'
loop_
_atom_site_label
_atom_site_type_symbol
_atom_site_fract_x
_atom_site_fract_y
_atom_site_fract_z
Zr1 Zr 0.373 0.123 0.250
Zr2 Zr 0.627 0.877 0.750
Fe1 Fe 0.000 0.000 0.500
Fe2 Fe 0.000 0.500 0.000
Co1 Co 0.000 0.500 0.500
Co2 Co 0.500 0.500 0.000
```

4.
DFT (SCAN) results for a PBEsol-optimized structure of TlCr2Os.

Values from the calculation:
E above lowest polymorph: 0.361 eV/atom
calculated formation energy: 0.8403 eV/atom
energy: -177.65 eV/cell
magnetic moment: 0.001 μB/f.u.

CIF file:
```
data_TlCr2Os
_chemical_formula_sum 'Tl1 Cr2 Os1'
_space_group_name_H-M_alt 'P 1'
_space_group_IT_number 1
_cell_length_a 5.009
_cell_length_b 5.009
_cell_length_c 5.009
_cell_angle_alpha 142.91
_cell_angle_beta 129.28
_cell_angle_gamma 64.48
loop_
_space_group_symop_operation_xyz
'x,y,z'
loop_
_atom_site_label
_atom_site_type_symbol
_atom_site_fract_x
_atom_site_fract_y
_atom_site_fract_z
Tl1 Tl 0.000 0.000 0.000
Cr1 Cr 0.260 0.760 0.500
Cr2 Cr 0.740 0.240 0.500
Os1 Os 0.500 0.500 0.000
```

5.
DFT (SCAN) results for a PBEsol-optimized structure of La3PtI3.

Values from the calculation:
ΔE_f (raw): -1.5285 eV/atom
energy: -1281.73 eV/cell
magnetic moment: 0.000 μB/f.u.

CIF file:
```
data_La3PtI3
_chemical_formula_sum 'La12 Pt4 I12'
_space_group_name_H-M_alt 'P 1'
_space_group_IT_number 1
_cell_length_a 10.784
_cell_length_b 10.784
_cell_length_c 10.784
_cell_angle_alpha 109.47
_cell_angle_beta 109.47
_cell_angle_gamma 109.47
loop_
_space_group_symop_operation_xyz
'x,y,z'
loop_
_atom_site_label
_atom_site_type_symbol
_atom_site_fract_x
_atom_site_fract_y
_atom_site_fract_z
La1 La 0.017 0.034 0.267
La2 La 0.017 0.483 0.750
La3 La 0.034 0.267 0.017
La4 La 0.233 0.267 0.750
La5 La 0.233 0.466 0.483
La6 La 0.267 0.017 0.034
La7 La 0.267 0.750 0.233
La8 La 0.466 0.483 0.233
La9 La 0.483 0.233 0.466
La10 La 0.483 0.750 0.017
La11 La 0.750 0.017 0.483
La12 La 0.750 0.233 0.267
Pt1 Pt 0.000 0.250 0.500
Pt2 Pt 0.250 0.250 0.250
Pt3 Pt 0.250 0.500 0.000
Pt4 Pt 0.500 0.000 0.250
I1 I 0.250 0.762 0.738
I2 I 0.250 0.988 0.512
I3 I 0.512 0.250 0.988
I4 I 0.512 0.762 0.525
I5 I 0.525 0.512 0.762
I6 I 0.738 0.250 0.762
I7 I 0.738 0.988 0.975
I8 I 0.762 0.525 0.512
I9 I 0.762 0.738 0.250
I10 I 0.975 0.738 0.988
I11 I 0.988 0.512 0.250
I12 I 0.988 0.975 0.738
```

6.
DFT (SCAN) results for a PBEsol-optimized structure of Gd2GaAg.

Values from the calculation:
calculated formation energy: -0.4793 eV/atom
energy: -167.26 eV/cell
magnetic moment: 15.363 μB/f.u.

CIF file:
```
data_Gd2GaAg
_chemical_formula_sum 'Gd2 Ga1 Ag1'
_space_group_name_H-M_alt 'P 1'
_space_group_IT_number 1
_cell_length_a 5.069
_cell_length_b 5.069
_cell_length_c 5.069
_cell_angle_alpha 60.00
_cell_angle_beta 60.00
_cell_angle_gamma 60.00
loop_
_space_group_symop_operation_xyz
'x,y,z'
loop_
_atom_site_label
_atom_site_type_symbol
_atom_site_fract_x
_atom_site_fract_y
_atom_site_fract_z
Gd1 Gd 0.250 0.250 0.250
Gd2 Gd 0.750 0.750 0.750
Ga1 Ga 0.000 0.000 0.000
Ag1 Ag 0.500 0.500 0.500
```